Version one
# AcYEr (PBE, optimized geometry)
data_AcYEr
_chemical_formula_sum 'Ac4 Y4 Er4'
_symmetry_space_group_name_H-M 'P 1'
_symmetry_Int_Tables_number 1
_cell_length_a 6.4952
_cell_length_b 12.0053
_cell_length_c 6.1984
_cell_angle_alpha 90.00
_cell_angle_beta 118.23
_cell_angle_gamma 90.00
loop_
_symmetry_equiv_pos_as_xyz
'x,y,z'
loop_
_atom_site_label
_atom_site_type_symbol
_atom_site_fract_x
_atom_site_fract_y
_atom_site_fract_z
Ac1 Ac 0.1692 0.1331 0.1563
Ac2 Ac 0.1692 0.3669 0.6563
Ac3 Ac 0.8308 0.6331 0.3437
Ac4 Ac 0.8308 0.8669 0.8437
Y1 Y 0.1866 0.6154 0.0154
Y2 Y 0.1866 0.8846 0.5154
Y3 Y 0.8134 0.1154 0.4846
Y4 Y 0.8134 0.3846 0.9846
Er1 Er 0.4834 0.6168 0.6612
Er2 Er 0.4834 0.8832 0.1612
Er3 Er 0.5166 0.1168 0.8388
Er4 Er 0.5166 0.3832 0.3388
# V = 425.9 Å³ per cell
# Space-group type = P2_1/c

Version two
# AcYEr (PBE, optimized geometry)
data_AcYEr
_chemical_formula_sum 'Ac2 Y2 Er2'
_symmetry_space_group_name_H-M 'P 1'
_symmetry_Int_Tables_number 1
_cell_length_a 9.7681
_cell_length_b 9.7681
_cell_length_c 5.9704
_cell_angle_alpha 90.00
_cell_angle_beta 90.00
_cell_angle_gamma 157.84
loop_
_symmetry_equiv_pos_as_xyz
'x,y,z'
loop_
_atom_site_label
_atom_site_type_symbol
_atom_site_fract_x
_atom_site_fract_y
_atom_site_fract_z
Ac1 Ac 0.2200 0.7800 0.7500
Ac2 Ac 0.7800 0.2200 0.2500
Y1 Y 0.4491 0.5509 0.2500
Y2 Y 0.5509 0.4491 0.7500
Er1 Er 0.1047 0.8953 0.2500
Er2 Er 0.8953 0.1047 0.7500
# V = 214.9 Å³ per cell
# Space-group type = Cmcm

Version three
# AcYEr (PBE, optimized geometry)
data_AcYEr
_chemical_formula_sum 'Ac1 Y1 Er1'
_symmetry_space_group_name_H-M 'P 1'
_symmetry_Int_Tables_number 1
_cell_length_a 5.8542
_cell_length_b 5.8542
_cell_length_c 3.5912
_cell_angle_alpha 90.00
_cell_angle_beta 90.00
_cell_angle_gamma 120.00
loop_
_symmetry_equiv_pos_as_xyz
'x,y,z'
loop_
_atom_site_label
_atom_site_type_symbol
_atom_site_fract_x
_atom_site_fract_y
_atom_site_fract_z
Ac1 Ac 0.0000 0.0000 0.0000
Y1 Y 0.3333 0.6667 0.4994
Er1 Er 0.6667 0.3333 0.9975
# V = 106.6 Å³ per cell
# Space-group type = P3m1

Decreasing stability: version two, version one, version three

Version one
# Ac4YEr (PBE, optimized geometry)
data_Ac4YEr
_chemical_formula_sum 'Ac4 Y1 Er1'
_symmetry_space_group_name_H-M 'P 1'
_symmetry_Int_Tables_number 1
_cell_length_a 3.7260
_cell_length_b 5.8442
_cell_length_c 11.2289
_cell_angle_alpha 90.00
_cell_angle_beta 90.00
_cell_angle_gamma 90.00
loop_
_symmetry_equiv_pos_as_xyz
'x,y,z'
loop_
_atom_site_label
_atom_site_type_symbol
_atom_site_fract_x
_atom_site_fract_y
_atom_site_fract_z
Ac1 Ac 0.0000 0.0000 0.1567
Ac2 Ac 0.0000 0.0000 0.8433
Ac3 Ac 0.0000 0.5000 0.3418
Ac4 Ac 0.0000 0.5000 0.6582
Y1 Y 0.5000 0.0000 0.5000
Er1 Er 0.5000 0.5000 0.0000
# V = 244.5 Å³ per cell
# Space-group type = Pmmm

Version two
# Ac4YEr (PBE, optimized geometry)
data_Ac4YEr
_chemical_formula_sum 'Ac4 Y1 Er1'
_symmetry_space_group_name_H-M 'P 1'
_symmetry_Int_Tables_number 1
_cell_length_a 7.1307
_cell_length_b 7.1307
_cell_length_c 7.1307
_cell_angle_alpha 60.00
_cell_angle_beta 60.00
_cell_angle_gamma 60.00
loop_
_symmetry_equiv_pos_as_xyz
'x,y,z'
loop_
_atom_site_label
_atom_site_type_symbol
_atom_site_fract_x
_atom_site_fract_y
_atom_site_fract_z
Ac1 Ac 0.1251 0.1251 0.1251
Ac2 Ac 0.1251 0.1251 0.6246
Ac3 Ac 0.1251 0.6246 0.1251
Ac4 Ac 0.6246 0.1251 0.1251
Y1 Y 0.7500 0.7500 0.7500
Er1 Er 0.5000 0.5000 0.5000
# V = 256.4 Å³ per cell
# Space-group type = F-43m

Decreasing stability: version one, version two

Version one
# AcY7Er12 (PBE, optimized geometry)
data_AcY7Er12
_chemical_formula_sum 'Ac1 Y7 Er12'
_symmetry_space_group_name_H-M 'P 1'
_symmetry_Int_Tables_number 1
_cell_length_a 9.7631
_cell_length_b 9.7631
_cell_length_c 9.7631
_cell_angle_alpha 109.47
_cell_angle_beta 109.47
_cell_angle_gamma 109.47
loop_
_symmetry_equiv_pos_as_xyz
'x,y,z'
loop_
_atom_site_label
_atom_site_type_symbol
_atom_site_fract_x
_atom_site_fract_y
_atom_site_fract_z
Ac1 Ac 0.0000 0.0000 0.0000
Y1 Y 0.0000 0.0000 0.5000
Y2 Y 0.0000 0.5000 0.0000
Y3 Y 0.0000 0.5000 0.5000
Y4 Y 0.5000 0.0000 0.0000
Y5 Y 0.5000 0.0000 0.5000
Y6 Y 0.5000 0.5000 0.0000
Y7 Y 0.5000 0.5000 0.5000
Er1 Er 0.0000 0.2650 0.7350
Er2 Er 0.0000 0.7350 0.2650
Er3 Er 0.2650 0.0000 0.7350
Er4 Er 0.2650 0.2650 0.5299
Er5 Er 0.2650 0.5299 0.2650
Er6 Er 0.2650 0.7350 0.0000
Er7 Er 0.4701 0.7350 0.7350
Er8 Er 0.5299 0.2650 0.2650
Er9 Er 0.7350 0.0000 0.2650
Er10 Er 0.7350 0.2650 0.0000
Er11 Er 0.7350 0.4701 0.7350
Er12 Er 0.7350 0.7350 0.4701
# V = 716.4 Å³ per cell
# Space-group type = Im-3m

Version two
# AcY7Er12 (PBE, optimized geometry)
data_AcY7Er12
_chemical_formula_sum 'Ac1 Y7 Er12'
_symmetry_space_group_name_H-M 'P 1'
_symmetry_Int_Tables_number 1
_cell_length_a 8.7110
_cell_length_b 8.7110
_cell_length_c 8.7110
_cell_angle_alpha 87.64
_cell_angle_beta 87.64
_cell_angle_gamma 87.64
loop_
_symmetry_equiv_pos_as_xyz
'x,y,z'
loop_
_atom_site_label
_atom_site_type_symbol
_atom_site_fract_x
_atom_site_fract_y
_atom_site_fract_z
Ac1 Ac 0.0000 0.0000 0.0000
Y1 Y 0.0612 0.3932 0.1569
Y2 Y 0.1569 0.0612 0.3932
Y3 Y 0.3932 0.1569 0.0612
Y4 Y 0.5000 0.5000 0.5000
Y5 Y 0.6068 0.8431 0.9388
Y6 Y 0.8431 0.9388 0.6068
Y7 Y 0.9388 0.6068 0.8431
Er1 Er 0.1359 0.6211 0.4960
Er2 Er 0.1480 0.2744 0.7241
Er3 Er 0.2744 0.7241 0.1480
Er4 Er 0.2759 0.8520 0.7256
Er5 Er 0.3789 0.5040 0.8641
Er6 Er 0.4960 0.1359 0.6211
Er7 Er 0.5040 0.8641 0.3789
Er8 Er 0.6211 0.4960 0.1359
Er9 Er 0.7241 0.1480 0.2745
Er10 Er 0.7256 0.2759 0.8520
Er11 Er 0.8520 0.7256 0.2759
Er12 Er 0.8641 0.3789 0.5040
# V = 659.4 Å³ per cell
# Space-group type = R-3

Decreasing stability: version two, version one

Version one
# Ac2YEr (PBE, optimized geometry)
data_Ac2YEr
_chemical_formula_sum 'Ac2 Y1 Er1'
_symmetry_space_group_name_H-M 'P 1'
_symmetry_Int_Tables_number 1
_cell_length_a 13.2179
_cell_length_b 13.2179
_cell_length_c 13.2179
_cell_angle_alpha 16.09
_cell_angle_beta 16.09
_cell_angle_gamma 16.09
loop_
_symmetry_equiv_pos_as_xyz
'x,y,z'
loop_
_atom_site_label
_atom_site_type_symbol
_atom_site_fract_x
_atom_site_fract_y
_atom_site_fract_z
Ac1 Ac 0.0880 0.0880 0.0880
Ac2 Ac 0.9120 0.9120 0.9120
Y1 Y 0.5000 0.5000 0.5000
Er1 Er 0.0000 0.0000 0.0000
# V = 154.7 Å³ per cell
# Space-group type = R-3m

Version two
# Ac2YEr (PBE, optimized geometry)
data_Ac2YEr
_chemical_formula_sum 'Ac2 Y1 Er1'
_symmetry_space_group_name_H-M 'P 1'
_symmetry_Int_Tables_number 1
_cell_length_a 5.9866
_cell_length_b 5.9866
_cell_length_c 5.9866
_cell_angle_alpha 60.00
_cell_angle_beta 60.00
_cell_angle_gamma 60.00
loop_
_symmetry_equiv_pos_as_xyz
'x,y,z'
loop_
_atom_site_label
_atom_site_type_symbol
_atom_site_fract_x
_atom_site_fract_y
_atom_site_fract_z
Ac1 Ac 0.2500 0.2500 0.2500
Ac2 Ac 0.7500 0.7500 0.7500
Y1 Y 0.0000 0.0000 0.0000
Er1 Er 0.5000 0.5000 0.5000
# V = 151.7 Å³ per cell
# Space-group type = Fm-3m

Decreasing stability: version two, version one